Entry 1:
# Ce3Nd4Tc2 (PBE, relaxed)
# M_tot (μB per formula unit): 0.00
# Electronic total energy (Ry per atom): -0.47222
# Energy of formation (eV/atom): -0.0243
# D(E_F) (states/eV per cell): 30.76
data_Ce3Nd4Tc2
_chemical_formula_sum 'Ce6 Nd8 Tc4'
_cell_length_a 17.292
_cell_length_b 3.793
_cell_length_c 8.886
_cell_angle_alpha 90.00
_cell_angle_beta 116.25
_cell_angle_gamma 90.00
_symmetry_space_group_name_H-M 'C 1 2/m 1'
_symmetry_Int_Tables_number 12
_symmetry_space_group_name_Hall '-C 2y'
loop_
_atom_site_label
_atom_site_type_symbol
_atom_site_fract_x
_atom_site_fract_y
_atom_site_fract_z
_atom_site_occupancy
Ce1 Ce 0.000 0.000 0.000 1
Ce2 Ce 0.074 0.000 0.691 1
Nd1 Nd 0.123 0.500 0.378 1
Nd2 Nd 0.230 0.000 0.149 1
Tc1 Tc 0.087 0.500 0.895 1

=====

Entry 2:
# CeNdTc (PBE, relaxed)
# M_tot (μB per formula unit): 0.25
# Electronic total energy (Ry per atom): -0.50389
# Energy of formation (eV/atom): 0.1668
# E above lowest polymorph (meV/atom): 203
# D(E_F) (states/eV per cell): 19.82
data_CeNdTc
_chemical_formula_sum 'Ce4 Nd4 Tc4'
_cell_length_a 6.884
_cell_length_b 6.884
_cell_length_c 6.884
_cell_angle_alpha 90.00
_cell_angle_beta 90.00
_cell_angle_gamma 90.00
_symmetry_space_group_name_H-M 'F -4 3 m'
_symmetry_Int_Tables_number 216
_symmetry_space_group_name_Hall 'F -4 2 3'
loop_
_atom_site_label
_atom_site_type_symbol
_atom_site_fract_x
_atom_site_fract_y
_atom_site_fract_z
_atom_site_occupancy
Ce1 Ce 0.000 0.000 0.000 1
Nd1 Nd 0.000 0.000 0.500 1
Tc1 Tc 0.250 0.250 0.750 1

=====

Entry 3:
# CeNdTc (PBE, relaxed)
# M_tot (μB per formula unit): 0.00
# Electronic total energy (Ry per atom): -0.51879
# Energy of formation (eV/atom): -0.0360
# E above lowest polymorph (meV/atom): 0
# D(E_F) (states/eV per cell): 6.24
data_CeNdTc
_chemical_formula_sum 'Ce2 Nd2 Tc2'
_cell_length_a 4.848
_cell_length_b 5.158
_cell_length_c 6.616
_cell_angle_alpha 90.00
_cell_angle_beta 99.26
_cell_angle_gamma 90.00
_symmetry_space_group_name_H-M 'P 1 21/m 1'
_symmetry_Int_Tables_number 11
_symmetry_space_group_name_Hall '-P 2yb'
loop_
_atom_site_label
_atom_site_type_symbol
_atom_site_fract_x
_atom_site_fract_y
_atom_site_fract_z
_atom_site_occupancy
Ce1 Ce 0.072 0.250 0.314 1
Nd1 Nd 0.415 0.250 0.835 1
Tc1 Tc 0.358 0.750 0.573 1

=====

Entry 4:
# CeNdTc (PBE, relaxed)
# M_tot (μB per formula unit): 0.00
# Electronic total energy (Ry per atom): -0.51435
# Energy of formation (eV/atom): 0.0245
# E above lowest polymorph (meV/atom): 60
# D(E_F) (states/eV per cell): 23.75
data_CeNdTc
_chemical_formula_sum 'Ce4 Nd4 Tc4'
_cell_length_a 9.248
_cell_length_b 5.308
_cell_length_c 7.044
_cell_angle_alpha 90.00
_cell_angle_beta 116.13
_cell_angle_gamma 90.00
_symmetry_space_group_name_H-M 'C 1 2/m 1'
_symmetry_Int_Tables_number 12
_symmetry_space_group_name_Hall '-C 2y'
loop_
_atom_site_label
_atom_site_type_symbol
_atom_site_fract_x
_atom_site_fract_y
_atom_site_fract_z
_atom_site_occupancy
Ce1 Ce 0.193 0.000 0.080 1
Nd1 Nd 0.123 0.500 0.368 1
Tc1 Tc 0.073 0.000 0.718 1

=====

Entry 5:
# CeNdZnTc (PBE, relaxed)
# M_tot (μB per formula unit): 0.00
# Electronic total energy (Ry per atom): -0.41319
# Energy of formation (eV/atom): -0.0363
# D(E_F) (states/eV per cell): 23.29
data_CeNdZnTc
_chemical_formula_sum 'Ce4 Nd4 Zn4 Tc4'
_cell_length_a 7.128
_cell_length_b 7.128
_cell_length_c 7.128
_cell_angle_alpha 90.00
_cell_angle_beta 90.00
_cell_angle_gamma 90.00
_symmetry_space_group_name_H-M 'F -4 3 m'
_symmetry_Int_Tables_number 216
_symmetry_space_group_name_Hall 'F -4 2 3'
loop_
_atom_site_label
_atom_site_type_symbol
_atom_site_fract_x
_atom_site_fract_y
_atom_site_fract_z
_atom_site_occupancy
Ce1 Ce 0.000 0.000 0.000 1
Nd1 Nd 0.000 0.000 0.500 1
Zn1 Zn 0.250 0.250 0.750 1
Tc1 Tc 0.250 0.250 0.250 1

=====

Entry 6:
# CeNd2Te3 (PBE, relaxed)
# M_tot (μB per formula unit): 1.27
# Electronic total energy (Ry per atom): -0.40872
# D(E_F) (states/eV per cell): 17.21
data_CeNd2Te3
_chemical_formula_sum 'Ce2 Nd4 Te6'
_cell_length_a 4.477
_cell_length_b 6.353
_cell_length_c 13.557
_cell_angle_alpha 90.00
_cell_angle_beta 90.00
_cell_angle_gamma 90.00
_symmetry_space_group_name_H-M 'I m m m'
_symmetry_Int_Tables_number 71
_symmetry_space_group_name_Hall '-I 2 2'
loop_
_atom_site_label
_atom_site_type_symbol
_atom_site_fract_x
_atom_site_fract_y
_atom_site_fract_z
_atom_site_occupancy
Ce1 Ce 0.000 0.000 0.000 1
Nd1 Nd 0.000 0.000 0.331 1
Te1 Te 0.000 0.500 0.000 1
Te2 Te 0.000 0.500 0.335 1

=====

Entry 7:
# CeNd2Te5 (PBE, relaxed)
# M_tot (μB per formula unit): 0.00
# Electronic total energy (Ry per atom): -0.32847
# D(E_F) (states/eV per cell): 4.74
data_CeNd2Te5
_chemical_formula_sum 'Ce1 Nd2 Te5'
_cell_length_a 7.602
_cell_length_b 7.602
_cell_length_c 5.397
_cell_angle_alpha 90.00
_cell_angle_beta 90.00
_cell_angle_gamma 90.00
_symmetry_space_group_name_H-M 'P 4/m m m'
_symmetry_Int_Tables_number 123
_symmetry_space_group_name_Hall '-P 4 2'
loop_
_atom_site_label
_atom_site_type_symbol
_atom_site_fract_x
_atom_site_fract_y
_atom_site_fract_z
_atom_site_occupancy
Ce1 Ce 0.000 0.000 0.000 1
Nd1 Nd 0.000 0.500 0.500 1
Te1 Te 0.000 0.000 0.500 1
Te2 Te 0.279 0.279 0.000 1

=====

Entry 8:
# CeNdTe3 (PBE, relaxed)
# M_tot (μB per formula unit): 0.96
# Electronic total energy (Ry per atom): -0.39970
# E above lowest polymorph (meV/atom): 0
# D(E_F) (states/eV per cell): 27.08
data_CeNdTe3
_chemical_formula_sum 'Ce4 Nd4 Te12'
_cell_length_a 8.412
_cell_length_b 4.467
_cell_length_c 17.502
_cell_angle_alpha 90.00
_cell_angle_beta 90.00
_cell_angle_gamma 90.00
_symmetry_space_group_name_H-M 'P n m a'
_symmetry_Int_Tables_number 62
_symmetry_space_group_name_Hall '-P 2ac 2n'
loop_
_atom_site_label
_atom_site_type_symbol
_atom_site_fract_x
_atom_site_fract_y
_atom_site_fract_z
_atom_site_occupancy
Ce1 Ce 0.132 0.250 0.204 1
Nd1 Nd 0.232 0.750 0.457 1
Te1 Te 0.001 0.250 0.390 1
Te2 Te 0.120 0.750 0.068 1
Te3 Te 0.153 0.250 0.780 1

=====

Entry 9:
# Ce3Nd5Te8 (PBE, relaxed)
# M_tot (μB per formula unit): 3.59
# Electronic total energy (Ry per atom): -0.41021
# D(E_F) (states/eV per cell): 80.10
data_Ce3Nd5Te8
_chemical_formula_sum 'Ce9 Nd15 Te24'
_cell_length_a 8.9721
_cell_length_b 8.9721
_cell_length_c 22.1241
_cell_angle_alpha 90.00
_cell_angle_beta 90.00
_cell_angle_gamma 120.00
_symmetry_space_group_name_H-M 'R -3 m'
_symmetry_Int_Tables_number 166
_symmetry_space_group_name_Hall '-R 3 2"'
loop_
_atom_site_label
_atom_site_type_symbol
_atom_site_fract_x
_atom_site_fract_y
_atom_site_fract_z
_atom_site_occupancy
Ce1 Ce 0.0000 0.5000 0.0000 1
Nd1 Nd 0.0000 0.0000 0.0000 1
Nd2 Nd 0.0000 0.0000 0.5000 1
Nd3 Nd 0.0000 0.5000 0.5000 1
Te1 Te 0.0000 0.0000 0.2502 1
Te2 Te 0.0005 0.5003 0.2502 1

=====

Entry 10:
# CeNdTe6 (PBE, relaxed)
# M_tot (μB per formula unit): 0.48
# Electronic total energy (Ry per atom): -0.34405
# D(E_F) (states/eV per cell): 12.35
data_CeNdTe6
_chemical_formula_sum 'Ce2 Nd2 Te12'
_cell_length_a 4.411
_cell_length_b 4.410
_cell_length_c 26.952
_cell_angle_alpha 90.00
_cell_angle_beta 90.00
_cell_angle_gamma 90.00
_symmetry_space_group_name_H-M 'A m m 2'
_symmetry_Int_Tables_number 38
_symmetry_space_group_name_Hall 'A 2 -2'
loop_
_atom_site_label
_atom_site_type_symbol
_atom_site_fract_x
_atom_site_fract_y
_atom_site_fract_z
_atom_site_occupancy
Ce1 Ce 0.000 0.000 0.000 1
Nd1 Nd 0.500 0.000 0.342 1
Te1 Te 0.000 0.000 0.248 1
Te2 Te 0.000 0.000 0.591 1
Te3 Te 0.000 0.000 0.879 1
Te4 Te 0.500 0.000 0.091 1
Te5 Te 0.500 0.000 0.466 1
Te6 Te 0.500 0.000 0.748 1

=====

Entry 11:
# CeNd6Te8 (PBE, relaxed)
# M_tot (μB per formula unit): 1.44
# Electronic total energy (Ry per atom): -0.39809
# D(E_F) (states/eV per cell): 62.34
data_CeNd6Te8
_chemical_formula_sum 'Ce4 Nd24 Te32'
_cell_length_a 12.689
_cell_length_b 12.689
_cell_length_c 12.689
_cell_angle_alpha 90.00
_cell_angle_beta 90.00
_cell_angle_gamma 90.00
_symmetry_space_group_name_H-M 'F m -3 m'
_symmetry_Int_Tables_number 225
_symmetry_space_group_name_Hall '-F 4 2 3'
loop_
_atom_site_label
_atom_site_type_symbol
_atom_site_fract_x
_atom_site_fract_y
_atom_site_fract_z
_atom_site_occupancy
Ce1 Ce 0.000 0.000 0.000 1
Nd1 Nd 0.000 0.250 0.250 1
Te1 Te 0.000 0.000 0.256 1
Te2 Te 0.250 0.250 0.250 1

=====

Entry 12:
# Ce2Nd2Te5 (PBE, relaxed)
# M_tot (μB per formula unit): 3.19
# Electronic total energy (Ry per atom): -0.40311
# D(E_F) (states/eV per cell): 76.46
data_Ce2Nd2Te5
_chemical_formula_sum 'Ce8 Nd8 Te20'
_cell_length_a 16.058
_cell_length_b 8.447
_cell_length_c 8.449
_cell_angle_alpha 90.00
_cell_angle_beta 90.00
_cell_angle_gamma 90.00
_symmetry_space_group_name_H-M 'C m c e'
_symmetry_Int_Tables_number 64
_symmetry_space_group_name_Hall '-C 2ac 2'
loop_
_atom_site_label
_atom_site_type_symbol
_atom_site_fract_x
_atom_site_fract_y
_atom_site_fract_z
_atom_site_occupancy
Ce1 Ce 0.195 0.000 0.000 1
Nd1 Nd 0.000 0.148 0.349 1
Te1 Te 0.000 0.000 0.000 1
Te2 Te 0.139 0.158 0.654 1

=====

Entry 13:
# CeNd5Te4 (PBE, relaxed)
# M_tot (μB per formula unit): 1.15
# Electronic total energy (Ry per atom): -0.37224
# D(E_F) (states/eV per cell): 31.39
data_CeNd5Te4
_chemical_formula_sum 'Ce2 Nd10 Te8'
_cell_length_a 9.415
_cell_length_b 10.166
_cell_length_c 7.734
_cell_angle_alpha 90.00
_cell_angle_beta 90.00
_cell_angle_gamma 90.00
_symmetry_space_group_name_H-M 'P m m n'
_symmetry_Int_Tables_number 59
loop_
_symmetry_equiv_pos_as_xyz
'x,y,z'
'-x,-y,-z'
'-x+1/2,-y+1/2,z'
'x+1/2,y+1/2,-z'
'x+1/2,-y,-z'
'-x+1/2,y,z'
'-x,y+1/2,-z'
'x,-y+1/2,z'
loop_
_atom_site_label
_atom_site_type_symbol
_atom_site_fract_x
_atom_site_fract_y
_atom_site_fract_z
_atom_site_occupancy
Ce1 Ce 0.250 0.250 0.138 1
Nd1 Nd 0.048 0.058 0.757 1
Nd2 Nd 0.250 0.750 0.777 1
Te1 Te 0.024 0.250 0.437 1
Te2 Te 0.250 0.544 0.065 1

=====

Entry 14:
# CeNd4Te5 (PBE, relaxed)
# M_tot (μB per formula unit): 1.22
# Electronic total energy (Ry per atom): -0.40324
# D(E_F) (states/eV per cell): 22.59
data_CeNd4Te5
_chemical_formula_sum 'Ce2 Nd8 Te10'
_cell_length_a 4.493
_cell_length_b 4.493
_cell_length_c 31.861
_cell_angle_alpha 90.00
_cell_angle_beta 90.00
_cell_angle_gamma 90.00
_symmetry_space_group_name_H-M 'I 4/m m m'
_symmetry_Int_Tables_number 139
_symmetry_space_group_name_Hall '-I 4 2'
loop_
_atom_site_label
_atom_site_type_symbol
_atom_site_fract_x
_atom_site_fract_y
_atom_site_fract_z
_atom_site_occupancy
Ce1 Ce 0.000 0.000 0.000 1
Nd1 Nd 0.000 0.000 0.197 1
Nd2 Nd 0.000 0.000 0.399 1
Te1 Te 0.000 0.000 0.099 1
Te2 Te 0.000 0.000 0.298 1
Te3 Te 0.000 0.000 0.500 1

=====

Entry 15:
# Ce5NdTe6 (PBE, relaxed)
# M_tot (μB per formula unit): 5.69
# Electronic total energy (Ry per atom): -0.42761
# D(E_F) (states/eV per cell): 73.97
data_Ce5NdTe6
_chemical_formula_sum 'Ce10 Nd2 Te12'
_cell_length_a 7.769
_cell_length_b 13.512
_cell_length_c 7.770
_cell_angle_alpha 90.00
_cell_angle_beta 109.58
_cell_angle_gamma 90.00
_symmetry_space_group_name_H-M 'C 1 2/m 1'
_symmetry_Int_Tables_number 12
_symmetry_space_group_name_Hall '-C 2y'
loop_
_atom_site_label
_atom_site_type_symbol
_atom_site_fract_x
_atom_site_fract_y
_atom_site_fract_z
_atom_site_occupancy
Ce1 Ce 0.000 0.000 0.000 1
Ce2 Ce 0.000 0.166 0.500 1
Ce3 Ce 0.000 0.333 0.000 1
Nd1 Nd 0.000 0.500 0.500 1
Te1 Te 0.250 0.000 0.751 1
Te2 Te 0.250 0.167 0.250 1

=====

Entry 16:
# CeNd5Te8 (PBE, relaxed)
# M_tot (μB per formula unit): 1.84
# Electronic total energy (Ry per atom): -0.39277
# D(E_F) (states/eV per cell): 30.35
data_CeNd5Te8
_chemical_formula_sum 'Ce2 Nd10 Te16'
_cell_length_a 9.543
_cell_length_b 9.543
_cell_length_c 9.565
_cell_angle_alpha 90.00
_cell_angle_beta 90.00
_cell_angle_gamma 90.00
_symmetry_space_group_name_H-M 'I -4'
_symmetry_Int_Tables_number 82
_symmetry_space_group_name_Hall 'I -4'
loop_
_atom_site_label
_atom_site_type_symbol
_atom_site_fract_x
_atom_site_fract_y
_atom_site_fract_z
_atom_site_occupancy
Ce1 Ce 0.000 0.000 0.000 1
Nd1 Nd 0.000 0.500 0.750 1
Nd2 Nd 0.120 0.250 0.374 1
Te1 Te 0.075 0.176 0.699 1
Te2 Te 0.075 0.325 0.049 1

=====

Entry 17:
# Ce4NdTe6 (PBE, relaxed)
# M_tot (μB per formula unit): 5.66
# Electronic total energy (Ry per atom): -0.40941
# D(E_F) (states/eV per cell): 190.29
data_Ce4NdTe6
_chemical_formula_sum 'Ce24 Nd6 Te36'
_cell_length_a 12.7912
_cell_length_b 12.7912
_cell_length_c 15.1895
_cell_angle_alpha 90.00
_cell_angle_beta 90.00
_cell_angle_gamma 120.00
_symmetry_space_group_name_H-M 'R -3 c'
_symmetry_Int_Tables_number 167
_symmetry_space_group_name_Hall '-R 3 2"c'
loop_
_atom_site_label
_atom_site_type_symbol
_atom_site_fract_x
_atom_site_fract_y
_atom_site_fract_z
_atom_site_occupancy
Ce1 Ce 0.0000 0.0000 0.2500 1
Ce2 Ce 0.0000 0.3924 0.2500 1
Nd1 Nd 0.0000 0.0000 0.0000 1
Te1 Te 0.0314 0.2093 0.3821 1

=====

Entry 18:
# Ce5NdTe8 (PBE, relaxed)
# M_tot (μB per formula unit): 6.97
# Electronic total energy (Ry per atom): -0.41582
# D(E_F) (states/eV per cell): 70.24
data_Ce5NdTe8
_chemical_formula_sum 'Ce10 Nd2 Te16'
_cell_length_a 9.527
_cell_length_b 9.527
_cell_length_c 9.545
_cell_angle_alpha 90.00
_cell_angle_beta 90.00
_cell_angle_gamma 90.00
_symmetry_space_group_name_H-M 'I -4'
_symmetry_Int_Tables_number 82
_symmetry_space_group_name_Hall 'I -4'
loop_
_atom_site_label
_atom_site_type_symbol
_atom_site_fract_x
_atom_site_fract_y
_atom_site_fract_z
_atom_site_occupancy
Ce1 Ce 0.000 0.000 0.000 1
Ce2 Ce 0.126 0.750 0.375 1
Nd1 Nd 0.000 0.500 0.750 1
Te1 Te 0.076 0.674 0.048 1
Te2 Te 0.076 0.826 0.701 1

=====

Entry 19:
# CeNd3Te6 (PBE, relaxed)
# M_tot (μB per formula unit): 0.97
# Electronic total energy (Ry per atom): -0.39044
# E above lowest polymorph (meV/atom): 0
# D(E_F) (states/eV per cell): 14.90
data_CeNd3Te6
_chemical_formula_sum 'Ce2 Nd6 Te12'
_cell_length_a 12.769
_cell_length_b 4.485
_cell_length_c 13.144
_cell_angle_alpha 90.00
_cell_angle_beta 109.14
_cell_angle_gamma 90.00
_symmetry_space_group_name_H-M 'P 1 21/m 1'
_symmetry_Int_Tables_number 11
_symmetry_space_group_name_Hall '-P 2yb'
loop_
_atom_site_label
_atom_site_type_symbol
_atom_site_fract_x
_atom_site_fract_y
_atom_site_fract_z
_atom_site_occupancy
Ce1 Ce 0.044 0.250 0.193 1
Nd1 Nd 0.155 0.250 0.580 1
Nd2 Nd 0.318 0.750 0.998 1
Nd3 Nd 0.430 0.250 0.333 1
Te1 Te 0.085 0.750 0.398 1
Te2 Te 0.112 0.250 0.966 1
Te3 Te 0.190 0.750 0.751 1
Te4 Te 0.250 0.750 0.220 1
Te5 Te 0.394 0.250 0.562 1
Te6 Te 0.486 0.250 0.119 1

=====

Entry 20:
# Ce2NdTe3 (PBE, relaxed)
# M_tot (μB per formula unit): 2.45
# Electronic total energy (Ry per atom): -0.42139
# D(E_F) (states/eV per cell): 29.91
data_Ce2NdTe3
_chemical_formula_sum 'Ce4 Nd2 Te6'
_cell_length_a 7.724
_cell_length_b 13.583
_cell_length_c 4.461
_cell_angle_alpha 90.00
_cell_angle_beta 124.65
_cell_angle_gamma 90.00
_symmetry_space_group_name_H-M 'C 1 2/m 1'
_symmetry_Int_Tables_number 12
_symmetry_space_group_name_Hall '-C 2y'
loop_
_atom_site_label
_atom_site_type_symbol
_atom_site_fract_x
_atom_site_fract_y
_atom_site_fract_z
_atom_site_occupancy
Ce1 Ce 0.000 0.166 0.000 1
Nd1 Nd 0.000 0.500 0.000 1
Te1 Te 0.000 0.000 0.500 1
Te2 Te 0.000 0.333 0.500 1